(1)
A relaxed structure of Cs2LiCdF6. Source: Alexandria, functional GGA-PBE.

Calculated values
As for the theoretical density: 4.784 g cm⁻³. The volume is 173.2 Å³/cell. The calculation puts the uncorrected formation energy at -2.3504 eV per atom.

The structure in POSCAR format:
```
Cs2LiCdF6
1.0
6.252 0.000 0.000
0.000 6.252 0.000
-3.127 -3.126 4.432
Cs F Li Cd
2 6 1 1
direct
0.250 0.750 0.500
0.750 0.250 0.500
0.249 0.250 0.499
0.750 0.751 0.501
0.749 0.750 0.000
0.749 0.251 0.000
0.250 0.750 0.000
0.250 0.251 0.000
0.500 0.500 0.000
0.000 0.000 0.000
```

(2)
A relaxed structure of Mn3CdSb. Source: Alexandria, functional GGA-PBE.

Calculated values
As for the theoretical density: 5.369 g cm⁻³. The volume is 123.4 Å³/cell. The calculation puts the uncorrected formation energy at 0.9089 eV per atom.

The structure in POSCAR format:
```
Mn3CdSb
1.0
-0.247 -1.863 4.610
2.659 -3.950 -1.454
4.202 2.390 1.191
Mn Sb Cd
3 1 1
direct
0.000 0.000 0.500
0.500 0.000 0.000
0.000 0.500 0.000
0.000 0.000 0.000
0.500 0.500 0.500
```

(3)
A relaxed structure of VTc2Ge4. Source: Alexandria, functional GGA-PBE.

Calculated values
As for the theoretical density: 6.701 g cm⁻³. The volume is 133.2 Å³/cell. The calculation puts the energy relative to the elements at 0.5655 eV/atom.

The structure in POSCAR format:
```
VTc2Ge4
1.0
4.628 0.000 0.000
0.000 4.628 0.000
2.314 2.314 6.219
Tc Ge V
2 4 1
direct
0.602 0.602 0.795
0.398 0.398 0.205
0.800 0.800 0.400
0.200 0.200 0.600
0.000 0.500 0.000
0.500 0.000 0.000
0.000 0.000 0.000
```

(4)
A relaxed structure of Pr4IrSCl2. Source: Alexandria, functional GGA-PBE.

Calculated values
As for the theoretical density: 6.584 g cm⁻³. The volume is 216.6 Å³/cell. The calculation puts the uncorrected formation energy at -1.4296 eV per atom.

The structure in POSCAR format:
```
Pr4IrSCl2
1.0
4.060 0.000 0.000
0.000 7.404 0.184
0.000 -2.539 7.142
S Pr Cl Ir
1 4 2 1
direct
0.000 0.000 0.000
0.500 0.762 0.784
0.000 0.275 0.785
0.500 0.238 0.216
0.000 0.725 0.215
0.000 0.500 0.500
0.500 0.000 0.500
0.500 0.500 0.000
```

Among the records above, which one has the highest theoretical density? VTc2Ge4

What is the volume in the third record? 133.2 Å³/cell

Which formula does entry 3 have? VTc2Ge4